# 1
# Si2W2I | the Alexandria database | PBE | optimized geometry
# E above lowest polymorph: 181 meV per atom
# density of states at the Fermi level: 13.03 states/eV/cell
# E_form (uncorrected): 840 meV/atom
# M_tot: 0.00 μB/cell
# uncorrected energy: -34.10 eV/f.u.
data_Si2W2I
_chemical_formula_sum 'Si4 W4 I2'
_space_group_name_H-M_alt 'P 4/m b m'
_space_group_IT_number 127
_space_group_name_Hall '-P 4 2ab'
_cell_length_a 7.506
_cell_length_b 7.506
_cell_length_c 3.049
_cell_angle_alpha 90.00
_cell_angle_beta 90.00
_cell_angle_gamma 90.00
loop_
_atom_site_label
_atom_site_type_symbol
_atom_site_fract_x
_atom_site_fract_y
_atom_site_fract_z
Si1 Si 0.132 0.368 0.000
W1 W 0.151 0.651 0.500
I1 I 0.000 0.000 0.000

# 2
# CaRe2Rh | the Alexandria database | PBE | optimized geometry
# E above lowest polymorph: 181 meV per atom
# density of states at the Fermi level: 4.40 states/eV/cell
# M_tot: 0.00 μB/cell
# ΔE_f: 0.41 eV per atom
# uncorrected energy: -32.62 eV/f.u.
data_CaRe2Rh
_chemical_formula_sum 'Ca1 Re2 Rh1'
_space_group_name_H-M_alt 'P m m m'
_space_group_IT_number 47
_space_group_name_Hall '-P 2 2'
_cell_length_a 3.094
_cell_length_b 4.361
_cell_length_c 4.947
_cell_angle_alpha 90.00
_cell_angle_beta 90.00
_cell_angle_gamma 90.00
loop_
_atom_site_label
_atom_site_type_symbol
_atom_site_fract_x
_atom_site_fract_y
_atom_site_fract_z
Ca1 Ca 0.000 0.000 0.000
Re1 Re 0.000 0.500 0.500
Re2 Re 0.500 0.000 0.500
Rh1 Rh 0.500 0.500 0.000